(1)
## V2Bi4O11 (GGA-PBEsol)

Data for a relaxed structure of V2Bi4O11.

Distance to the lowest polymorph of the same formula = 0.078 eV per atom
Total DFT energy (no corrections) = -7.212 eV per atom
Formation energy without anion corrections = -28.4 eV/f.u.

Cell and atoms, written as POSCAR:
```
V2Bi4O11
1.0
-1.871 4.689 2.483
-6.160 -0.981 1.965
2.548 -1.869 7.416
O Bi V
11 4 2
direct
0.889 0.039 0.219 O
0.968 0.422 0.203 O
0.261 0.300 0.571 O
0.760 0.357 0.575 O
0.233 0.103 0.941 O
0.979 0.727 0.525 O
0.774 0.006 0.836 O
0.956 0.530 0.827 O
0.511 0.454 0.065 O
0.377 0.063 0.257 O
0.417 0.706 0.786 O
0.627 0.765 0.984 Bi
0.558 0.312 0.309 Bi
0.116 0.951 0.677 Bi
0.462 0.337 0.822 Bi
0.110 0.162 0.153 V
0.970 0.490 0.614 V
```

---

(2)
## AlAu (GGA-PBEsol)

Data for a relaxed structure of AlAu.

E_form = -0.2881 eV per atom
Total DFT energy (no corrections) = -4.296 eV per atom

Cell and atoms, written as POSCAR:
```
AlAu
1.0
3.172 0.000 0.000
0.000 3.172 0.000
0.000 0.000 3.172
Au Al
1 1
direct
0.500 0.500 0.500 Au
0.000 0.000 0.000 Al
```

---

(3)
## CuAsPb2 (GGA-PBEsol)

Data for a relaxed structure of CuAsPb2.

E_form = 0.4337 eV per atom
Total DFT energy (no corrections) = -3.926 eV per atom

Cell and atoms, written as POSCAR:
```
CuAsPb2
1.0
5.040 0.000 0.000
2.520 4.365 0.000
2.520 1.455 4.115
Cu Pb As
1 2 1
direct
0.250 0.250 0.250 Cu
0.000 0.000 0.000 Pb
0.750 0.750 0.750 Pb
0.500 0.500 0.500 As
```